1.
! La4FeCu, optimized geometry, DFT PBE; values from VASP
&SYSTEM
  ibrav = 0, nat = 6, ntyp = 3
/
ATOMIC_SPECIES
La 138.91 La.upf
Fe 55.84 Fe.upf
Cu 63.55 Cu.upf
CELL_PARAMETERS angstrom
0.000 4.479 4.479
4.479 0.000 4.479
4.479 4.479 0.000
ATOMIC_POSITIONS angstrom
La 3.365 3.365 3.365
La 5.592 5.592 3.365
La 5.592 3.365 5.592
La 3.365 5.592 5.592
Fe 6.718 6.718 6.718
Cu 0.000 0.000 0.000
! Formation energy from the elements ... 0.847 eV/atom
! SG ... F-43m (216)
! Energy ... -4.531 eV/atom

***

2.
! LaFeCu2, optimized geometry, DFT PBE; values from VASP
&SYSTEM
  ibrav = 0, nat = 4, ntyp = 3
/
ATOMIC_SPECIES
La 138.91 La.upf
Fe 55.84 Fe.upf
Cu 63.55 Cu.upf
CELL_PARAMETERS angstrom
3.176 0.000 0.000
0.000 3.194 0.000
0.000 0.000 6.804
ATOMIC_POSITIONS angstrom
La 0.000 0.000 0.000
Fe 1.588 1.597 2.140
Cu 0.000 0.000 3.377
Cu 1.588 1.597 4.608
! Formation energy from the elements ... 0.209 eV/atom
! SG ... Pmm2 (25)
! Energy ... -5.187 eV/atom

***

3.
! LaFeCu2, optimized geometry, DFT PBE; values from VASP
&SYSTEM
  ibrav = 0, nat = 16, ntyp = 3
/
ATOMIC_SPECIES
La 138.91 La.upf
Fe 55.84 Fe.upf
Cu 63.55 Cu.upf
CELL_PARAMETERS angstrom
4.433 0.000 0.000
0.000 4.433 0.000
0.000 0.000 16.967
ATOMIC_POSITIONS angstrom
La 0.000 0.000 0.000
La 0.000 2.217 4.242
La 2.217 0.000 12.725
La 2.217 2.217 8.484
Fe 0.000 0.000 8.484
Fe 0.000 2.217 12.725
Fe 2.217 0.000 4.242
Fe 2.217 2.217 0.000
Cu 0.268 1.108 10.604
Cu 1.108 2.484 14.846
Cu 1.108 4.166 6.363
Cu 1.949 1.108 2.121
Cu 2.484 3.325 2.121
Cu 3.325 0.268 6.363
Cu 3.325 1.949 14.846
Cu 4.166 3.325 10.604
! Formation energy from the elements ... 0.316 eV/atom
! SG ... I-42d (122)
! Energy ... -5.079 eV/atom

***

4.
! LaFe4Cu, optimized geometry, DFT PBE; values from VASP
&SYSTEM
  ibrav = 0, nat = 6, ntyp = 3
/
ATOMIC_SPECIES
La 138.91 La.upf
Fe 55.84 Fe.upf
Cu 63.55 Cu.upf
CELL_PARAMETERS angstrom
0.000 3.579 3.579
3.579 0.000 3.579
3.579 3.579 0.000
ATOMIC_POSITIONS angstrom
La 0.000 0.000 0.000
Fe 2.699 2.699 2.699
Fe 4.459 4.459 2.699
Fe 4.459 2.699 4.459
Fe 2.699 4.459 4.459
Cu 5.369 5.369 5.369
! Formation energy from the elements ... 0.182 eV/atom
! SG ... F-43m (216)
! Energy ... -6.964 eV/atom

***

5.
! La2Fe2Cu, optimized geometry, DFT PBE; values from VASP
&SYSTEM
  ibrav = 0, nat = 10, ntyp = 3
/
ATOMIC_SPECIES
La 138.91 La.upf
Fe 55.84 Fe.upf
Cu 63.55 Cu.upf
CELL_PARAMETERS angstrom
7.025 0.000 0.000
0.000 7.025 0.000
0.000 0.000 4.196
ATOMIC_POSITIONS angstrom
La 1.304 2.209 0.000
La 2.209 5.721 0.000
La 4.816 1.304 0.000
La 5.721 4.816 0.000
Fe 0.800 4.313 2.098
Fe 2.712 0.800 2.098
Fe 4.313 6.225 2.098
Fe 6.225 2.712 2.098
Cu 0.000 0.000 2.098
Cu 3.512 3.512 2.098
! Formation energy from the elements ... 0.143 eV/atom
! SG ... P4/mbm (127)
! Energy ... -6.032 eV/atom

***

6.
! La3FeCu, optimized geometry, DFT PBE; values from VASP
&SYSTEM
  ibrav = 0, nat = 10, ntyp = 3
/
ATOMIC_SPECIES
La 138.91 La.upf
Fe 55.84 Fe.upf
Cu 63.55 Cu.upf
CELL_PARAMETERS angstrom
8.173 -1.947 0.000
8.173 1.947 0.000
-0.822 0.000 8.499
ATOMIC_POSITIONS angstrom
La 0.000 0.000 0.000
La 2.476 0.000 3.073
La 5.772 0.000 2.195
La 8.243 0.000 5.264
La 10.766 0.000 8.440
La 13.002 0.000 5.325
Fe 8.693 0.000 2.250
Fe 15.903 0.000 3.013
Cu 2.457 0.000 6.203
Cu 4.955 0.000 7.562
! Formation energy from the elements ... -0.021 eV/atom
! SG ... Cm (8)
! Energy ... -5.489 eV/atom

***

7.
! LaFeCu2, optimized geometry, DFT PBE; values from VASP
&SYSTEM
  ibrav = 0, nat = 4, ntyp = 3
/
ATOMIC_SPECIES
La 138.91 La.upf
Fe 55.84 Fe.upf
Cu 63.55 Cu.upf
CELL_PARAMETERS angstrom
3.152 0.000 0.000
0.000 3.152 0.000
0.000 0.000 6.958
ATOMIC_POSITIONS angstrom
La 0.000 0.000 0.000
Fe 0.000 0.000 3.479
Cu 1.576 1.576 2.216
Cu 1.576 1.576 4.742
! Formation energy from the elements ... 0.191 eV/atom
! SG ... P4/mmm (123)
! Energy ... -5.204 eV/atom

***

8.
! LaFeCu2, optimized geometry, DFT PBE; values from VASP
&SYSTEM
  ibrav = 0, nat = 8, ntyp = 3
/
ATOMIC_SPECIES
La 138.91 La.upf
Fe 55.84 Fe.upf
Cu 63.55 Cu.upf
CELL_PARAMETERS angstrom
7.283 0.000 0.000
0.000 4.216 0.000
-2.466 0.000 5.021
ATOMIC_POSITIONS angstrom
La 0.000 0.000 0.000
La 3.642 2.108 0.000
Fe -1.233 2.108 2.511
Fe 2.409 0.000 2.511
Cu -0.021 0.000 2.958
Cu 1.196 2.108 2.063
Cu 3.621 2.108 2.958
Cu 4.838 0.000 2.063
! Formation energy from the elements ... 0.045 eV/atom
! SG ... C2/m (12)
! Energy ... -5.350 eV/atom

***

Taking the records one at a time from the top gives calculated volume values of 179.7; 69.0; 333.5; 91.7; 207.1; 270.5; 69.1; 154.2 Å³ per cell.